(1)
Here is a geometry-optimized Ge3CSe structure from Alexandria. Energies are from PBE.

Cell lengths 5.1558, 5.1558, 5.1558 Å; angles 90.00, 90.00, 90.00 degrees
Last column: nearest neighbours and their distance in Å.
Fractional coordinates of all 5 atoms:
Ge  0.0000  0.5000  0.0000  2 Se 2.58
Ge  0.0000  0.0000  0.5000  2 Se 2.58
Ge  0.5000  0.0000  0.0000  2 Se 2.58
C  0.5000  0.5000  0.5000  12 Ge 3.65
Se  0.0000  0.0000  0.0000  6 Ge 2.58

polymorph energy (0 for the lowest one): 1081.3 meV per atom
formation energy without anion corrections: 1980 meV per atom

---

(2)
Here is a geometry-optimized TcRh2Se structure from Alexandria. Energies are from PBE.

Cell lengths 5.3085, 5.3085, 5.3085 Å; angles 147.83, 130.68, 60.11 degrees
Last column: nearest neighbours and their distance in Å.
Fractional coordinates of all 4 atoms:
Tc  0.2783  0.7783  0.5000  2 Se 2.47, 4 Rh 2.71
Se  0.4937  0.4937  0.0000  2 Tc 2.47, 6 Rh 2.55-2.66
Rh  0.0076  0.0076  0.0000  4 Se 2.66, 2 Tc 2.89, 4 Rh 2.94-2.95
Rh  0.7203  0.2203  0.5000  2 Se 2.55, 4 Tc 2.71

formation energy without anion corrections: 161 meV per atom

---

(3)
Here is a geometry-optimized Li6Cu7 structure from Alexandria. Energies are from PBE.

Cell lengths 9.4035, 9.4035, 9.4035 Å; angles 30.01, 30.01, 30.01 degrees
Last column: nearest neighbours and their distance in Å.
Fractional coordinates of all 13 atoms:
Li  0.3324  0.3324  0.3324  6 Cu 2.77-2.81, 3 Li 2.81
Li  0.6676  0.6676  0.6676  6 Cu 2.77-2.81, 3 Li 2.81
Li  0.9489  0.9489  0.9489  6 Cu 2.65, 2 Li 2.75
Li  0.1532  0.1532  0.1532  4 Li 2.75-2.90, 12 Cu 2.81-2.98
Li  0.0511  0.0511  0.0511  6 Cu 2.65, 2 Li 2.75
Li  0.8468  0.8468  0.8468  4 Li 2.75-2.90, 12 Cu 2.81-2.98
Cu  0.9111  0.4102  0.4102  5 Cu 2.43-2.51, 2 Li 2.65
Cu  0.5898  0.0889  0.5898  5 Cu 2.43-2.51, 2 Li 2.65
Cu  0.4102  0.4102  0.9111  5 Cu 2.43-2.51, 2 Li 2.65
Cu  0.4102  0.9111  0.4102  5 Cu 2.43-2.51, 2 Li 2.65
Cu  0.5000  0.5000  0.5000  6 Cu 2.51
Cu  0.0889  0.5898  0.5898  5 Cu 2.43-2.51, 2 Li 2.65
Cu  0.5898  0.5898  0.0889  5 Cu 2.43-2.51, 2 Li 2.65

formation energy: -0.071 eV per atom